This record from the Alexandria database describes a geometry-optimized Sc2NbPt structure. The functional is PBE.

* ΔE to the lowest computed polymorph: 0 meV per atom
* crystal system: tetragonal
* energy of formation: -0.5426 eV/atom
* volume: 76.6 Å³/cell
* magnetic moment: 0.000 μB per atom

Cell and atoms, written as POSCAR:
```
Sc2NbPt
1.0
3.2529 0.0000 0.0000
0.0000 3.2529 0.0000
0.0000 0.0000 7.2345
Sc Nb Pt
2 1 1
Direct
0.0000 0.0000 0.2251 Sc
0.0000 0.0000 0.7749 Sc
0.5000 0.5000 0.5000 Nb
0.5000 0.5000 0.0000 Pt
```